A geometry-optimized PaFe3As3 structure. Source: Alexandria via LeMat-Bulk, functional GGA-PBE.

## Properties
The offset from the most stable computed form comes out at 3.85 eV/f.u. The space group is Pm-3n, No. 223.

abc: 6.3657 6.3657 6.3657
angles: 90.00 90.00 90.00
Fractional positions:
Pa (0.0000, 0.0000, 0.0000)
Pa (0.5000, 0.5000, 0.5000)
Fe (0.0000, 0.2500, 0.5000)
Fe (0.0000, 0.7500, 0.5000)
Fe (0.2500, 0.5000, 0.0000)
Fe (0.5000, 0.0000, 0.2500)
Fe (0.5000, 0.0000, 0.7500)
Fe (0.7500, 0.5000, 0.0000)
As (0.0000, 0.5000, 0.2500)
As (0.0000, 0.5000, 0.7500)
As (0.2500, 0.0000, 0.5000)
As (0.5000, 0.2500, 0.0000)
As (0.5000, 0.7500, 0.0000)
As (0.7500, 0.0000, 0.5000)